Entry 1
Material: Ca2ZnSn2
Method: DFT, GGA-PBE
State: relaxed Values from VASP.

Quantum ESPRESSO input file:
```
&SYSTEM
  ibrav = 0, nat = 10, ntyp = 3
/
ATOMIC_SPECIES
Zn 65.41 Zn.upf
Ca 40.08 Ca.upf
Sn 118.71 Sn.upf
ATOMIC_POSITIONS crystal
Zn 0.000 0.000 0.000
Zn 0.500 0.500 0.000
Ca 0.322 0.822 0.000
Ca 0.822 0.678 0.000
Ca 0.678 0.178 0.000
Ca 0.178 0.322 0.000
Sn 0.120 0.620 0.500
Sn 0.620 0.880 0.500
Sn 0.880 0.380 0.500
Sn 0.380 0.120 0.500
CELL_PARAMETERS angstrom
-2.543 -6.123 5.357
-2.776 -4.623 -6.602
3.720 -1.807 -0.299
```

Entry 2
Material: Ca2ZnSn2
Method: DFT, GGA-PBE
State: relaxed Values from VASP.

Quantum ESPRESSO input file:
```
&SYSTEM
  ibrav = 0, nat = 10, ntyp = 3
/
ATOMIC_SPECIES
Ca 40.08 Ca.upf
Zn 65.41 Zn.upf
Sn 118.71 Sn.upf
ATOMIC_POSITIONS crystal
Ca 0.678 0.312 0.332
Ca 0.924 0.256 0.897
Ca 0.322 0.688 0.668
Ca 0.076 0.744 0.103
Zn 0.630 0.086 0.653
Zn 0.370 0.914 0.347
Sn 0.083 0.270 0.565
Sn 0.645 0.829 0.881
Sn 0.917 0.730 0.435
Sn 0.355 0.171 0.119
CELL_PARAMETERS angstrom
-4.531 -1.447 0.507
-1.066 -2.659 5.447
-4.748 8.242 3.669
```

Entry 3
Material: Ca2ZnSn2
Method: DFT, GGA-PBE
State: relaxed Values from VASP.

Quantum ESPRESSO input file:
```
&SYSTEM
  ibrav = 0, nat = 10, ntyp = 3
/
ATOMIC_SPECIES
Zn 65.41 Zn.upf
Ca 40.08 Ca.upf
Sn 118.71 Sn.upf
ATOMIC_POSITIONS crystal
Zn 0.000 0.000 0.000
Zn 0.500 0.500 0.000
Ca 0.166 0.666 0.500
Ca 0.666 0.834 0.500
Ca 0.834 0.334 0.500
Ca 0.334 0.166 0.500
Sn 0.359 0.859 0.000
Sn 0.859 0.641 0.000
Sn 0.641 0.141 0.000
Sn 0.141 0.359 0.000
CELL_PARAMETERS angstrom
7.467 0.000 0.000
0.000 7.467 0.000
0.000 0.000 4.888
```

Quick one: least stable of them? entry 1

Entry 1
Material: Ca4ZnSn2
Method: DFT, GGA-PBE
State: relaxed Values from VASP.

Quantum ESPRESSO input file:
```
&SYSTEM
  ibrav = 0, nat = 7, ntyp = 3
/
ATOMIC_SPECIES
Zn 65.41 Zn.upf
Ca 40.08 Ca.upf
Sn 118.71 Sn.upf
ATOMIC_POSITIONS crystal
Zn 0.000 0.000 0.000
Ca 0.185 0.185 0.631
Ca 0.815 0.815 0.369
Ca 0.000 0.500 0.000
Ca 0.500 0.000 0.000
Sn 0.380 0.380 0.240
Sn 0.620 0.620 0.760
CELL_PARAMETERS angstrom
-2.207 -4.340 2.349
4.555 -0.801 2.799
-1.693 2.143 8.588
```

Entry 2
Material: Ca4ZnSn2
Method: DFT, GGA-PBE
State: relaxed Values from VASP.

Quantum ESPRESSO input file:
```
&SYSTEM
  ibrav = 0, nat = 7, ntyp = 3
/
ATOMIC_SPECIES
Ca 40.08 Ca.upf
Zn 65.41 Zn.upf
Sn 118.71 Sn.upf
ATOMIC_POSITIONS crystal
Ca 0.876 0.876 0.372
Ca 0.124 0.124 0.628
Ca 0.626 0.626 0.123
Ca 0.374 0.374 0.877
Zn 0.000 0.000 0.000
Sn 0.751 0.751 0.747
Sn 0.249 0.249 0.253
CELL_PARAMETERS angstrom
-2.605 4.545 -1.107
-4.389 1.314 2.771
2.599 6.191 6.353
```

Quick one: least stable of them? entry 1

Entry 1
Material: Ca4ZnSn
Method: DFT, GGA-PBE
State: relaxed Values from VASP.

Quantum ESPRESSO input file:
```
&SYSTEM
  ibrav = 0, nat = 6, ntyp = 3
/
ATOMIC_SPECIES
Ca 40.08 Ca.upf
Zn 65.41 Zn.upf
Sn 118.71 Sn.upf
ATOMIC_POSITIONS crystal
Ca 0.501 0.997 0.248
Ca 0.501 0.998 0.748
Ca 0.001 0.497 0.748
Ca 0.001 0.497 0.248
Zn 0.001 0.997 0.498
Sn 0.501 0.497 0.998
CELL_PARAMETERS angstrom
-1.093 4.669 -2.094
-4.586 0.057 2.520
3.318 3.458 5.973
```

Entry 2
Material: Ca4ZnSn
Method: DFT, GGA-PBE
State: relaxed Values from VASP.

Quantum ESPRESSO input file:
```
&SYSTEM
  ibrav = 0, nat = 24, ntyp = 3
/
ATOMIC_SPECIES
Ca 40.08 Ca.upf
Zn 65.41 Zn.upf
Sn 118.71 Sn.upf
ATOMIC_POSITIONS crystal
Ca 0.364 0.364 0.364
Ca 0.908 0.364 0.364
Ca 0.364 0.908 0.364
Ca 0.364 0.364 0.908
Ca 0.557 0.557 0.943
Ca 0.943 0.943 0.557
Ca 0.557 0.943 0.557
Ca 0.943 0.557 0.943
Ca 0.943 0.557 0.557
Ca 0.557 0.943 0.943
Ca 0.200 0.200 0.800
Ca 0.800 0.800 0.200
Ca 0.200 0.800 0.200
Ca 0.800 0.200 0.800
Ca 0.800 0.200 0.200
Ca 0.200 0.800 0.800
Zn 0.148 0.148 0.148
Zn 0.556 0.148 0.148
Zn 0.148 0.556 0.148
Zn 0.148 0.148 0.556
Sn 0.589 0.589 0.589
Sn 0.234 0.589 0.589
Sn 0.589 0.234 0.589
Sn 0.589 0.589 0.234
CELL_PARAMETERS angstrom
-7.757 -5.427 -3.872
-5.701 -5.869 6.138
-9.651 2.658 2.100
```

Quick one: least stable of them? entry 1

Entry 1
Material: CaZr3Sn
Method: DFT, GGA-PBE
State: relaxed Values from VASP.

Quantum ESPRESSO input file:
```
&SYSTEM
  ibrav = 0, nat = 5, ntyp = 3
/
ATOMIC_SPECIES
Ca 40.08 Ca.upf
Sn 118.71 Sn.upf
Zr 91.22 Zr.upf
ATOMIC_POSITIONS crystal
Ca 0.500 0.500 0.500
Sn 0.000 0.000 0.000
Zr 0.000 0.500 0.000
Zr 0.000 0.000 0.500
Zr 0.500 0.000 0.000
CELL_PARAMETERS angstrom
5.420 0.000 0.000
0.000 5.420 0.000
0.000 0.000 5.420
```

Entry 2
Material: CaZr3Sn
Method: DFT, GGA-PBE
State: relaxed Values from VASP.

Quantum ESPRESSO input file:
```
&SYSTEM
  ibrav = 0, nat = 5, ntyp = 3
/
ATOMIC_SPECIES
Ca 40.08 Ca.upf
Sn 118.71 Sn.upf
Zr 91.22 Zr.upf
ATOMIC_POSITIONS crystal
Ca 0.000 0.000 0.000
Sn 0.500 0.500 0.500
Zr 0.000 0.500 0.000
Zr 0.000 0.000 0.500
Zr 0.500 0.000 0.000
CELL_PARAMETERS angstrom
-3.519 2.229 2.888
0.650 -3.566 3.544
3.590 2.830 2.190
```

Quick one: least stable of them? entry 2

Entry 1
Material: Ca2ZrSn
Method: DFT, GGA-PBE
State: relaxed Values from VASP.

Quantum ESPRESSO input file:
```
&SYSTEM
  ibrav = 0, nat = 8, ntyp = 3
/
ATOMIC_SPECIES
Ca 40.08 Ca.upf
Sn 118.71 Sn.upf
Zr 91.22 Zr.upf
ATOMIC_POSITIONS crystal
Ca 0.647 0.125 0.250
Ca 0.103 0.625 0.250
Ca 0.375 0.353 0.750
Ca 0.875 0.897 0.750
Sn 0.000 0.000 0.000
Sn 0.750 0.250 0.500
Zr 0.500 0.500 0.000
Zr 0.250 0.750 0.500
CELL_PARAMETERS angstrom
-6.837 -5.178 1.934
4.601 -7.036 -2.574
-0.032 -6.458 2.580
```

Entry 2
Material: Ca2ZrSn
Method: DFT, GGA-PBE
State: relaxed Values from VASP.

Quantum ESPRESSO input file:
```
&SYSTEM
  ibrav = 0, nat = 4, ntyp = 3
/
ATOMIC_SPECIES
Ca 40.08 Ca.upf
Sn 118.71 Sn.upf
Zr 91.22 Zr.upf
ATOMIC_POSITIONS crystal
Ca 0.250 0.250 0.250
Ca 0.750 0.750 0.750
Sn 0.500 0.500 0.500
Zr 0.000 0.000 0.000
CELL_PARAMETERS angstrom
5.368 -0.414 0.720
2.549 3.365 3.417
1.973 -1.882 4.698
```

Quick one: least stable of them? entry 1

Entry 1
Material: SrCa
Method: DFT, GGA-PBE
State: relaxed Values from VASP.

Quantum ESPRESSO input file:
```
&SYSTEM
  ibrav = 0, nat = 6, ntyp = 2
/
ATOMIC_SPECIES
Ca 40.08 Ca.upf
Sr 87.62 Sr.upf
ATOMIC_POSITIONS crystal
Ca 0.005 0.005 0.999
Ca 0.666 0.666 0.670
Ca 0.607 0.607 0.275
Sr 0.330 0.330 0.333
Sr 0.950 0.950 0.610
Sr 0.276 0.276 0.947
CELL_PARAMETERS angstrom
7.885 0.013 -0.012
6.831 3.938 -0.012
2.594 0.697 9.365
```

Entry 2
Material: SrCa
Method: DFT, GGA-PBE
State: relaxed Values from VASP.

Quantum ESPRESSO input file:
```
&SYSTEM
  ibrav = 0, nat = 4, ntyp = 2
/
ATOMIC_SPECIES
Sr 87.62 Sr.upf
Ca 40.08 Ca.upf
ATOMIC_POSITIONS crystal
Sr 0.125 0.125 0.125
Sr 0.875 0.875 0.875
Ca 0.375 0.375 0.375
Ca 0.625 0.625 0.625
CELL_PARAMETERS angstrom
-6.086 1.420 -1.588
-3.940 -4.633 -2.144
-4.864 -2.064 3.696
```

Quick one: least stable of them? entry 2

Entry 1
Material: Sr2Ca
Method: DFT, GGA-PBE
State: relaxed Values from VASP.

Quantum ESPRESSO input file:
```
&SYSTEM
  ibrav = 0, nat = 9, ntyp = 2
/
ATOMIC_SPECIES
Ca 40.08 Ca.upf
Sr 87.62 Sr.upf
ATOMIC_POSITIONS crystal
Ca 0.333 0.667 0.000
Ca 0.667 0.333 0.000
Ca 0.000 0.000 0.500
Sr 0.305 0.000 0.000
Sr 0.000 0.305 0.000
Sr 0.695 0.695 0.000
Sr 0.640 0.000 0.500
Sr 0.000 0.640 0.500
Sr 0.360 0.360 0.500
CELL_PARAMETERS angstrom
-9.880 4.092 -3.903
8.311 -2.719 -7.288
-1.474 -3.808 -0.260
```

Entry 2
Material: Sr2Ca
Method: DFT, GGA-PBE
State: relaxed Values from VASP.

Quantum ESPRESSO input file:
```
&SYSTEM
  ibrav = 0, nat = 6, ntyp = 2
/
ATOMIC_SPECIES
Ca 40.08 Ca.upf
Sr 87.62 Sr.upf
ATOMIC_POSITIONS crystal
Ca 0.000 0.000 0.000
Ca 0.445 0.555 0.500
Sr 0.340 0.660 0.000
Sr 0.665 0.335 0.000
Sr 0.779 0.221 0.500
Sr 0.105 0.895 0.500
CELL_PARAMETERS angstrom
-3.670 8.164 -6.361
-0.175 -7.763 7.764
2.154 4.555 4.604
```

Quick one: least stable of them? entry 1

Entry 1
Material: Sr2Ca
Method: DFT, GGA-PBE
State: relaxed Values from VASP.

Quantum ESPRESSO input file:
```
&SYSTEM
  ibrav = 0, nat = 3, ntyp = 2
/
ATOMIC_SPECIES
Sr 87.62 Sr.upf
Ca 40.08 Ca.upf
ATOMIC_POSITIONS crystal
Sr 0.667 0.333 0.674
Sr 0.333 0.667 0.326
Ca 0.000 0.000 0.000
CELL_PARAMETERS angstrom
4.153 0.000 0.000
-2.076 3.597 0.000
0.000 0.000 10.096
```

Entry 2
Material: Sr2Ca
Method: DFT, GGA-PBE
State: relaxed Values from VASP.

Quantum ESPRESSO input file:
```
&SYSTEM
  ibrav = 0, nat = 6, ntyp = 2
/
ATOMIC_SPECIES
Sr 87.62 Sr.upf
Ca 40.08 Ca.upf
ATOMIC_POSITIONS crystal
Sr 0.125 0.625 0.625
Sr 0.625 0.125 0.625
Sr 0.625 0.625 0.625
Sr 0.625 0.625 0.125
Ca 0.000 0.000 0.000
Ca 0.250 0.250 0.250
CELL_PARAMETERS angstrom
7.647 0.000 0.000
3.823 6.622 0.000
3.823 2.207 6.244
```

Quick one: least stable of them? entry 2

Entry 1
Material: Sr2Ca
Method: DFT, GGA-PBE
State: relaxed Values from VASP.

Quantum ESPRESSO input file:
```
&SYSTEM
  ibrav = 0, nat = 6, ntyp = 2
/
ATOMIC_SPECIES
Ca 40.08 Ca.upf
Sr 87.62 Sr.upf
ATOMIC_POSITIONS crystal
Ca 0.750 0.750 0.000
Ca 0.250 0.250 0.000
Sr 0.342 0.158 0.500
Sr 0.658 0.842 0.500
Sr 0.158 0.658 0.815
Sr 0.842 0.342 0.185
CELL_PARAMETERS angstrom
-3.583 4.785 4.591
-3.465 -3.340 -5.800
1.822 -5.751 4.518
```

Entry 2
Material: Sr2Ca
Method: DFT, GGA-PBE
State: relaxed Values from VASP.

Quantum ESPRESSO input file:
```
&SYSTEM
  ibrav = 0, nat = 6, ntyp = 2
/
ATOMIC_SPECIES
Ca 40.08 Ca.upf
Sr 87.62 Sr.upf
ATOMIC_POSITIONS crystal
Ca 0.333 0.667 0.250
Ca 0.667 0.333 0.750
Sr 0.000 0.000 0.000
Sr 0.000 0.000 0.500
Sr 0.333 0.667 0.750
Sr 0.667 0.333 0.250
CELL_PARAMETERS angstrom
6.658 0.000 0.000
-3.329 5.766 0.000
0.000 0.000 7.952
```

Entry 3
Material: Sr2Ca
Method: DFT, GGA-PBE
State: relaxed Values from VASP.

Quantum ESPRESSO input file:
```
&SYSTEM
  ibrav = 0, nat = 6, ntyp = 2
/
ATOMIC_SPECIES
Ca 40.08 Ca.upf
Sr 87.62 Sr.upf
ATOMIC_POSITIONS crystal
Ca 0.667 0.667 0.664
Ca 0.611 0.611 0.280
Sr 0.004 0.004 0.999
Sr 0.328 0.328 0.337
Sr 0.950 0.950 0.607
Sr 0.274 0.274 0.945
CELL_PARAMETERS angstrom
8.029 0.017 -0.020
6.961 4.001 -0.020
2.611 0.700 9.469
```

Entry 4
Material: Sr2Ca
Method: DFT, GGA-PBE
State: relaxed Values from VASP.

Quantum ESPRESSO input file:
```
&SYSTEM
  ibrav = 0, nat = 6, ntyp = 2
/
ATOMIC_SPECIES
Sr 87.62 Sr.upf
Ca 40.08 Ca.upf
ATOMIC_POSITIONS crystal
Sr 0.500 0.261 0.739
Sr 0.000 0.761 0.761
Sr 0.000 0.239 0.239
Sr 0.500 0.739 0.261
Ca 0.000 0.500 0.500
Ca 0.500 0.000 0.000
CELL_PARAMETERS angstrom
-1.809 -2.980 -1.923
4.341 -6.493 5.988
-7.619 0.623 6.199
```

Quick one: least stable of them? entry 4

Entry 1
Material: Sr2Ca
Method: DFT, GGA-PBE
State: relaxed Values from VASP.

Quantum ESPRESSO input file:
```
&SYSTEM
  ibrav = 0, nat = 6, ntyp = 2
/
ATOMIC_SPECIES
Ca 40.08 Ca.upf
Sr 87.62 Sr.upf
ATOMIC_POSITIONS crystal
Ca 0.998 0.998 0.005
Ca 0.336 0.336 0.327
Sr 0.666 0.666 0.667
Sr 0.611 0.611 0.276
Sr 0.942 0.942 0.609
Sr 0.280 0.280 0.949
CELL_PARAMETERS angstrom
-3.740 -6.669 -2.425
-4.103 -6.684 1.682
-9.505 2.517 -0.832
```

Entry 2
Material: Sr2Ca
Method: DFT, GGA-PBE
State: relaxed Values from VASP.

Quantum ESPRESSO input file:
```
&SYSTEM
  ibrav = 0, nat = 12, ntyp = 2
/
ATOMIC_SPECIES
Sr 87.62 Sr.upf
Ca 40.08 Ca.upf
ATOMIC_POSITIONS crystal
Sr 0.000 0.000 0.000
Sr 0.000 0.000 0.500
Sr 0.829 0.658 0.250
Sr 0.171 0.342 0.750
Sr 0.342 0.171 0.250
Sr 0.829 0.171 0.250
Sr 0.171 0.829 0.750
Sr 0.658 0.829 0.750
Ca 0.333 0.667 0.062
Ca 0.667 0.333 0.562
Ca 0.667 0.333 0.938
Ca 0.333 0.667 0.438
CELL_PARAMETERS angstrom
-6.581 -3.757 1.186
6.445 -3.908 -1.421
2.421 -0.414 12.116
```

Quick one: least stable of them? entry 2